[1]
{
  "formula": "Ba2H2I",
  "functional": "PBEsol",
  "state": "relaxed",
  "lattice_angstrom": [[-2.137, 2.137, 7.247], [2.137, -2.137, 7.247], [2.137, 2.137, -7.247]],
  "species": ["Ba", "Ba", "H", "H", "I"],
  "fractional_positions": [[0.151, 0.151, 0.000], [0.849, 0.849, 0.000], [0.250, 0.750, 0.500], [0.750, 0.250, 0.500], [0.500, 0.500, 0.000]],
  "n_ef_per_ev_cell": 2.0,
  "sg": "I4/mmm, No. 139",
  "dft_energy_ev_per_atom": -3.392,
  "volume_a3_per_cell": 132.3
}


[2]
{
  "formula": "GaSiF3",
  "functional": "PBEsol",
  "state": "relaxed",
  "lattice_angstrom": [[4.225, 0.000, 0.000], [0.000, 4.225, 0.000], [0.000, 0.000, 4.225]],
  "species": ["Ga", "Si", "F", "F", "F"],
  "fractional_positions": [[0.000, 0.000, 0.000], [0.500, 0.500, 0.500], [0.000, 0.500, 0.500], [0.500, 0.000, 0.500], [0.500, 0.500, 0.000]],
  "n_ef_per_ev_cell": 0.2,
  "sg": "Pm-3m, No. 221",
  "dft_energy_ev_per_atom": -4.563,
  "volume_a3_per_cell": 75.4
}


[3]
{
  "formula": "CeP5O14",
  "functional": "PBEsol",
  "state": "relaxed",
  "lattice_angstrom": [[8.828, 0.000, 0.000], [0.000, 9.099, 0.000], [-0.118, 0.000, 13.103]],
  "species": ["Ce", "Ce", "Ce", "Ce", "P", "P", "P", "P", "P", "P", "P", "P", "P", "P", "P", "P", "P", "P", "P", "P", "P", "P", "P", "P", "O", "O", "O", "O", "O", "O", "O", "O", "O", "O", "O", "O", "O", "O", "O", "O", "O", "O", "O", "O", "O", "O", "O", "O", "O", "O", "O", "O", "O", "O", "O", "O", "O", "O", "O", "O", "O", "O", "O", "O", "O", "O", "O", "O", "O", "O", "O", "O", "O", "O", "O", "O", "O", "O", "O", "O"],
  "fractional_positions": [[0.223, 0.190, 0.001], [0.223, 0.310, 0.501], [0.777, 0.690, 0.499], [0.777, 0.810, 0.999], [0.008, 0.506, 0.704], [0.008, 0.994, 0.204], [0.185, 0.746, 0.500], [0.185, 0.754, 0.000], [0.255, 0.548, 0.164], [0.255, 0.952, 0.664], [0.273, 0.551, 0.837], [0.273, 0.949, 0.337], [0.494, 0.002, 0.825], [0.494, 0.498, 0.325], [0.506, 0.502, 0.675], [0.506, 0.998, 0.175], [0.727, 0.051, 0.663], [0.727, 0.449, 0.163], [0.745, 0.048, 0.336], [0.745, 0.452, 0.836], [0.815, 0.246, 0.000], [0.815, 0.254, 0.500], [0.992, 0.006, 0.796], [0.992, 0.494, 0.296], [0.032, 0.687, 0.994], [0.032, 0.813, 0.494], [0.086, 0.118, 0.850], [0.086, 0.382, 0.350], [0.088, 0.115, 0.151], [0.088, 0.385, 0.651], [0.091, 0.572, 0.208], [0.091, 0.928, 0.708], [0.127, 0.598, 0.774], [0.127, 0.902, 0.274], [0.211, 0.585, 0.499], [0.211, 0.915, 0.999], [0.268, 0.095, 0.384], [0.268, 0.405, 0.884], [0.277, 0.692, 0.099], [0.277, 0.808, 0.599], [0.280, 0.091, 0.609], [0.280, 0.409, 0.109], [0.293, 0.685, 0.912], [0.293, 0.815, 0.412], [0.366, 0.581, 0.255], [0.366, 0.919, 0.755], [0.410, 0.583, 0.764], [0.410, 0.917, 0.264], [0.416, 0.115, 0.125], [0.416, 0.385, 0.625], [0.422, 0.122, 0.884], [0.422, 0.378, 0.384], [0.578, 0.622, 0.616], [0.578, 0.878, 0.116], [0.584, 0.615, 0.375], [0.584, 0.885, 0.875], [0.590, 0.083, 0.736], [0.590, 0.417, 0.236], [0.634, 0.081, 0.245], [0.634, 0.419, 0.745], [0.707, 0.185, 0.588], [0.707, 0.315, 0.088], [0.720, 0.591, 0.891], [0.720, 0.909, 0.391], [0.723, 0.192, 0.401], [0.723, 0.308, 0.901], [0.732, 0.595, 0.116], [0.732, 0.905, 0.616], [0.789, 0.085, 0.001], [0.789, 0.415, 0.501], [0.873, 0.098, 0.726], [0.873, 0.402, 0.226], [0.909, 0.072, 0.292], [0.909, 0.428, 0.792], [0.912, 0.615, 0.349], [0.912, 0.885, 0.849], [0.914, 0.618, 0.650], [0.914, 0.882, 0.150], [0.968, 0.187, 0.506], [0.968, 0.313, 0.006]],
  "n_ef_per_ev_cell": 34.4,
  "sg": "P2_1/c, No. 14",
  "dft_energy_ev_per_atom": -7.772,
  "volume_a3_per_cell": 1052.6
}


[4]
{
  "formula": "Li16Nb2N8O",
  "functional": "PBEsol",
  "state": "relaxed",
  "lattice_angstrom": [[2.969, 1.714, 8.408], [-2.969, 1.714, 8.408], [0.000, -3.428, 8.408]],
  "species": ["Li", "Li", "Li", "Li", "Li", "Li", "Li", "Li", "Li", "Li", "Li", "Li", "Li", "Li", "Li", "Li", "Nb", "Nb", "N", "N", "N", "N", "N", "N", "N", "N", "O"],
  "fractional_positions": [[0.056, 0.684, 0.331], [0.078, 0.078, 0.078], [0.168, 0.827, 0.579], [0.173, 0.421, 0.832], [0.316, 0.669, 0.944], [0.331, 0.056, 0.684], [0.417, 0.417, 0.417], [0.421, 0.832, 0.173], [0.579, 0.168, 0.827], [0.583, 0.583, 0.583], [0.669, 0.944, 0.316], [0.684, 0.331, 0.056], [0.827, 0.579, 0.168], [0.832, 0.173, 0.421], [0.922, 0.922, 0.922], [0.944, 0.316, 0.669], [0.250, 0.250, 0.250], [0.750, 0.750, 0.750], [0.089, 0.775, 0.462], [0.225, 0.538, 0.911], [0.327, 0.327, 0.327], [0.462, 0.089, 0.775], [0.538, 0.911, 0.225], [0.673, 0.673, 0.673], [0.775, 0.462, 0.089], [0.911, 0.225, 0.538], [0.000, 0.000, 0.000]],
  "n_ef_per_ev_cell": 0.0,
  "sg": "R-3, No. 148",
  "dft_energy_ev_per_atom": -5.634,
  "volume_a3_per_cell": 256.7
}


[5]
{
  "formula": "Sr3P4O13",
  "functional": "PBEsol",
  "state": "relaxed",
  "lattice_angstrom": [[7.263, 0.000, 0.000], [-0.571, 7.721, 0.000], [-2.349, -2.403, 9.577]],
  "species": ["Sr", "Sr", "Sr", "Sr", "Sr", "Sr", "P", "P", "P", "P", "P", "P", "P", "P", "O", "O", "O", "O", "O", "O", "O", "O", "O", "O", "O", "O", "O", "O", "O", "O", "O", "O", "O", "O", "O", "O", "O", "O", "O", "O"],
  "fractional_positions": [[0.208, 0.218, 0.139], [0.252, 0.022, 0.758], [0.286, 0.771, 0.375], [0.714, 0.229, 0.625], [0.748, 0.978, 0.242], [0.792, 0.782, 0.861], [0.137, 0.462, 0.861], [0.169, 0.190, 0.489], [0.325, 0.814, 0.024], [0.361, 0.539, 0.653], [0.639, 0.461, 0.347], [0.675, 0.186, 0.976], [0.831, 0.810, 0.511], [0.863, 0.538, 0.139], [0.027, 0.180, 0.576], [0.048, 0.488, 0.213], [0.094, 0.126, 0.332], [0.130, 0.283, 0.896], [0.161, 0.903, 0.952], [0.235, 0.606, 0.004], [0.238, 0.403, 0.514], [0.294, 0.470, 0.774], [0.315, 0.721, 0.639], [0.348, 0.105, 0.544], [0.379, 0.889, 0.182], [0.432, 0.486, 0.319], [0.495, 0.809, 0.961], [0.505, 0.191, 0.039], [0.568, 0.514, 0.681], [0.621, 0.111, 0.818], [0.652, 0.895, 0.456], [0.685, 0.279, 0.361], [0.706, 0.530, 0.226], [0.762, 0.597, 0.486], [0.765, 0.394, 0.996], [0.839, 0.097, 0.048], [0.870, 0.717, 0.104], [0.906, 0.874, 0.668], [0.952, 0.512, 0.787], [0.973, 0.820, 0.424]],
  "n_ef_per_ev_cell": 0.0,
  "sg": "P-1, No. 2",
  "dft_energy_ev_per_atom": -7.541,
  "volume_a3_per_cell": 537.1
}


[6]
{
  "formula": "NiGeI2N",
  "functional": "PBEsol",
  "state": "relaxed",
  "lattice_angstrom": [[5.614, 0.000, 0.000], [0.000, 5.614, 0.000], [0.000, 0.000, 3.483]],
  "species": ["Ni", "Ge", "I", "I", "N"],
  "fractional_positions": [[0.000, 0.000, 0.000], [0.500, 0.500, 0.500], [0.000, 0.500, 0.500], [0.500, 0.000, 0.500], [0.500, 0.500, 0.000]],
  "n_ef_per_ev_cell": 5.2,
  "sg": "P4/mmm, No. 123",
  "dft_energy_ev_per_atom": -3.707,
  "volume_a3_per_cell": 109.8
}